DFT (PBE) results for a geometry-optimized LiIn5Ag4 structure.

Total magnetic moment   0.0 μB per formula unit
Relative energy among the computed polymorphs   0.079 eV/atom
N(E_F)   6.50 states/eV per cell
Energy of formation   0.01 eV per atom

abc: 8.728 8.728 5.889
angles: 90.00 90.00 90.00
Space group I4 (No. 79)
Symmetry-distinct sites (fractional):
1 Li 0.000 0.000 0.000 [2 per cell]
2 In 0.000 0.000 0.467 [2 per cell]
3 In 0.069 0.324 0.234 [8 per cell]
4 Ag 0.107 0.244 0.751 [8 per cell]